BPd4: optimized geometry, PBE-GGA.

Properties
SG: No. 15
Offset from the most stable computed form (meV/atom): 0
Formation energy (eV per atom): -0.232
Fermi-level density of states (states/eV per atom): 0.23
Final energy (eV per atom): -5.722

Cell: 6.5018 6.5018 5.0141 Å, 104.64 104.64 126.94°
Sites, in units of the cell vectors:
B1 0.1795 0.8205 0.7500
B2 0.8205 0.1795 0.2500
Pd1 0.0679 0.4396 0.7583
Pd2 0.1977 0.3139 0.2488
Pd3 0.3139 0.1977 0.7488
Pd4 0.4396 0.0679 0.2583
Pd5 0.5604 0.9321 0.7417
Pd6 0.6861 0.8023 0.2512
Pd7 0.8023 0.6861 0.7512
Pd8 0.9321 0.5604 0.2417